SrMo2O | Alexandria via LeMat-Bulk | PBE+U | optimized geometry; energy = -5.1027 eV/atom; space group = I4_1/amd
1.0
-5.768 -1.774 2.980
2.230 -6.326 0.551
0.241 -2.945 6.315
Mo O Sr
4 2 2
Direct
0.375 0.625 0.250 Mo
0.375 0.125 0.250 Mo
0.875 0.625 0.750 Mo
0.375 0.625 0.750 Mo
0.500 0.500 0.000 O
0.250 0.750 0.500 O
0.750 0.250 0.500 Sr
0.000 0.000 0.000 Sr